# Cs12Zn3Br5 (GGA-PBE, optimized geometry)
# **Formation energy (no corrections)**: -0.723 eV/atom
# **VASP energy**: -295.139 eV for the cell shown
# **Theoretical density**: 2.59 g cm⁻³
data_Cs12Zn3Br5
_chemical_formula_sum 'Cs96 Zn24 Br40'
_space_group_name_H-M_alt 'I a -3 d'
_space_group_IT_number 230
_space_group_name_Hall '-I 4bd 2c 3'
_cell_length_a 22.4030
_cell_length_b 22.4030
_cell_length_c 22.4030
_cell_angle_alpha 90.00
_cell_angle_beta 90.00
_cell_angle_gamma 90.00
loop_
_atom_site_label
_atom_site_type_symbol
_atom_site_fract_x
_atom_site_fract_y
_atom_site_fract_z
Cs1 Cs 0.0228 0.0619 0.6508
Zn1 Zn 0.0000 0.2500 0.1250
Br1 Br 0.0000 0.0000 0.0000
Br2 Br 0.0000 0.2500 0.3750


# BaGdMgTl (GGA-PBE, optimized geometry)
# **VASP energy**: -82.180 eV for the cell shown
# **Theoretical density**: 6.46 g cm⁻³
# **DFT formation energy**: -145 meV/atom
data_BaGdMgTl
_chemical_formula_sum 'Ba4 Gd4 Mg4 Tl4'
_space_group_name_H-M_alt 'F -4 3 m'
_space_group_IT_number 216
_space_group_name_Hall 'F -4 2 3'
_cell_length_a 8.1332
_cell_length_b 8.1332
_cell_length_c 8.1332
_cell_angle_alpha 90.00
_cell_angle_beta 90.00
_cell_angle_gamma 90.00
loop_
_atom_site_label
_atom_site_type_symbol
_atom_site_fract_x
_atom_site_fract_y
_atom_site_fract_z
Ba1 Ba 0.0000 0.0000 0.0000
Gd1 Gd 0.0000 0.0000 0.5000
Mg1 Mg 0.2500 0.2500 0.2500
Tl1 Tl 0.2500 0.2500 0.7500


# Dy8P3AuSe4 (GGA-PBE, optimized geometry)
# **Formation energy (no corrections)**: -1.628 eV/atom
# **VASP energy**: -288.919 eV for the cell shown
# **Theoretical density**: 8.30 g cm⁻³
data_Dy8P3AuSe4
_chemical_formula_sum 'Dy24 P9 Au3 Se12'
_space_group_name_H-M_alt 'R -3 m'
_space_group_IT_number 166
_space_group_name_Hall '-R 3 2"'
_cell_length_a 8.1155
_cell_length_b 8.1155
_cell_length_c 20.0435
_cell_angle_alpha 90.00
_cell_angle_beta 90.00
_cell_angle_gamma 120.00
loop_
_atom_site_label
_atom_site_type_symbol
_atom_site_fract_x
_atom_site_fract_y
_atom_site_fract_z
Dy1 Dy 0.0000 0.0000 0.2425
Dy2 Dy 0.0090 0.5045 0.7540
P1 P 0.0000 0.5000 0.5000
Au1 Au 0.0000 0.0000 0.5000
Se1 Se 0.0000 0.0000 0.0000
Se2 Se 0.0000 0.5000 0.0000


# LiAlNi2 (GGA-PBE, optimized geometry)
# **VASP energy**: -37.337 eV for the cell shown
# **Theoretical density**: 5.42 g cm⁻³
# **DFT formation energy**: -362 meV/atom
data_LiAlNi2
_chemical_formula_sum 'Li2 Al2 Ni4'
_space_group_name_H-M_alt 'C m m m'
_space_group_IT_number 65
_space_group_name_Hall '-C 2 2'
_cell_length_a 5.5356
_cell_length_b 6.0720
_cell_length_c 2.7571
_cell_angle_alpha 90.00
_cell_angle_beta 90.00
_cell_angle_gamma 90.00
loop_
_atom_site_label
_atom_site_type_symbol
_atom_site_fract_x
_atom_site_fract_y
_atom_site_fract_z
Li1 Li 0.0000 0.0000 0.0000
Al1 Al 0.0000 0.5000 0.0000
Ni1 Ni 0.2500 0.2500 0.5000


# As2WAu (GGA-PBE, optimized geometry)
# **VASP energy**: -24.764 eV for the cell shown
# **Theoretical density**: 12.81 g cm⁻³
# **DFT formation energy**: 191 meV/atom
data_As2WAu
_chemical_formula_sum 'As2 W1 Au1'
_space_group_name_H-M_alt 'P 4/m m m'
_space_group_IT_number 123
_space_group_name_Hall '-P 4 2'
_cell_length_a 3.3030
_cell_length_b 3.3030
_cell_length_c 6.3037
_cell_angle_alpha 90.00
_cell_angle_beta 90.00
_cell_angle_gamma 90.00
loop_
_atom_site_label
_atom_site_type_symbol
_atom_site_fract_x
_atom_site_fract_y
_atom_site_fract_z
As1 As 0.0000 0.0000 0.2208
W1 W 0.5000 0.5000 0.0000
Au1 Au 0.5000 0.5000 0.5000


# SnGe2BiRh (GGA-PBE, optimized geometry)
# **VASP energy**: -17.992 eV for the cell shown
# **Theoretical density**: 6.38 g cm⁻³
# **DFT formation energy**: 1296 meV/atom
data_SnGe2BiRh
_chemical_formula_sum 'Sn1 Ge2 Bi1 Rh1'
_space_group_name_H-M_alt 'P 4/m m m'
_space_group_IT_number 123
_space_group_name_Hall '-P 4 2'
_cell_length_a 5.0931
_cell_length_b 5.0931
_cell_length_c 5.7773
_cell_angle_alpha 90.00
_cell_angle_beta 90.00
_cell_angle_gamma 90.00
loop_
_atom_site_label
_atom_site_type_symbol
_atom_site_fract_x
_atom_site_fract_y
_atom_site_fract_z
Sn1 Sn 0.0000 0.0000 0.0000
Ge1 Ge 0.0000 0.5000 0.0000
Bi1 Bi 0.0000 0.0000 0.5000
Rh1 Rh 0.5000 0.5000 0.5000


# CaTbTm2Hg4 (GGA-PBE, optimized geometry)
# **VASP energy**: -62.382 eV for the cell shown
# **Theoretical density**: 10.91 g cm⁻³
# **DFT formation energy**: -501 meV/atom
data_CaTbTm2Hg4
_chemical_formula_sum 'Ca3 Tb3 Tm6 Hg12'
_space_group_name_H-M_alt 'R -3 m'
_space_group_IT_number 166
_space_group_name_Hall '-R 3 2"'
_cell_length_a 5.2410
_cell_length_b 5.2410
_cell_length_c 25.7104
_cell_angle_alpha 90.00
_cell_angle_beta 90.00
_cell_angle_gamma 120.00
loop_
_atom_site_label
_atom_site_type_symbol
_atom_site_fract_x
_atom_site_fract_y
_atom_site_fract_z
Ca1 Ca 0.0000 0.0000 0.0000
Tb1 Tb 0.0000 0.0000 0.5000
Tm1 Tm 0.0000 0.0000 0.2512
Hg1 Hg 0.0000 0.0000 0.1258
Hg2 Hg 0.0000 0.0000 0.3760


# Tc2RhBr (GGA-PBE, optimized geometry)
# **Formation energy (no corrections)**: 0.419 eV/atom
# **VASP energy**: -28.079 eV for the cell shown
# **Theoretical density**: 9.91 g cm⁻³
data_Tc2RhBr
_chemical_formula_sum 'Tc2 Rh1 Br1'
_space_group_name_H-M_alt 'P 4 m m'
_space_group_IT_number 99
_space_group_name_Hall 'P 4 -2'
_cell_length_a 2.9123
_cell_length_b 2.9123
_cell_length_c 7.4854
_cell_angle_alpha 90.00
_cell_angle_beta 90.00
_cell_angle_gamma 90.00
loop_
_atom_site_label
_atom_site_type_symbol
_atom_site_fract_x
_atom_site_fract_y
_atom_site_fract_z
Tc1 Tc 0.0000 0.0000 0.0000
Tc2 Tc 0.5000 0.5000 0.2252
Rh1 Rh 0.5000 0.5000 0.7582
Br1 Br 0.0000 0.0000 0.4758